The following is a DFT calculation (PBE-GGA) of a relaxed structure of Sr3SnBi.

Cell lengths 6.186, 6.186, 6.186 Å; angles 90.00, 90.00, 90.00 degrees
Element x y z (fractional)
Sr: 0.000 0.000 0.500
Sr: 0.000 0.500 0.000
Sr: 0.500 0.000 0.000
Sn: 0.000 0.000 0.000
Bi: 0.500 0.500 0.500

total magnetic moment: 0.00 Bohr magnetons per cell
calculated volume: 47.35 Å³/atom
energy relative to the lowest polymorph listed for this composition: 0.326 eV per atom
ΔH_f (0 K): -1.66 eV per formula unit
SG: No. 221